Here is a relaxed structure of HoSc8Al2 from Alexandria. Energies are from PBE.

Values from the calculation:
spin magnetization	0.006	Bohr magnetons per cell
DFT total energy	-5.698	eV/atom
density of states at the Fermi level	1.528	states/eV/atom
crystal system	monoclinic

Unit cell a=8.175 b=13.950 c=5.222 alpha=90.00 beta=118.13 gamma=90.00
Space group C2/m (No. 12)
Asymmetric unit:
Ho  0.000  0.000  0.000
Sc  0.000  0.218  0.000
Sc  0.080  0.500  0.791
Sc  0.212  0.120  0.639
Al  0.000  0.309  0.500